Record 1
# KFeTe2Pd SCAN single point on PBEsol structure
# Spin magnetization in μB/f.u.: 3.19
# ΔE_f (raw) in kJ/mol of formula units: 191
data_KFeTe2Pd
_chemical_formula_sum 'K1 Fe1 Te2 Pd1'
_space_group_name_H-M_alt 'P 4/m m m'
_space_group_IT_number 123
_space_group_name_Hall '-P 4 2'
_cell_length_a 5.2236
_cell_length_b 5.2236
_cell_length_c 5.2890
_cell_angle_alpha 90.00
_cell_angle_beta 90.00
_cell_angle_gamma 90.00
loop_
_atom_site_label
_atom_site_type_symbol
_atom_site_fract_x
_atom_site_fract_y
_atom_site_fract_z
_atom_site_occupancy
K1 K 0.0000 0.0000 0.0000 1
Fe1 Fe 0.5000 0.5000 0.0000 1
Te1 Te 0.0000 0.5000 0.5000 1
Pd1 Pd 0.0000 0.0000 0.5000 1

Record 2
# K2MgCr SCAN single point on PBEsol structure
# Energy relative to the elements in eV per atom: 0.391
# Spin magnetization in μB/f.u.: 4.84
data_K2MgCr
_chemical_formula_sum 'K2 Mg1 Cr1'
_space_group_name_H-M_alt 'P m m 2'
_space_group_IT_number 25
_cell_length_a 3.6182
_cell_length_b 4.1340
_cell_length_c 10.2276
_cell_angle_alpha 90.00
_cell_angle_beta 90.00
_cell_angle_gamma 90.00
loop_
_space_group_symop_operation_xyz
'x,y,z'
'-x,-y,z'
'-x,y,z'
'x,-y,z'
loop_
_atom_site_label
_atom_site_type_symbol
_atom_site_fract_x
_atom_site_fract_y
_atom_site_fract_z
_atom_site_occupancy
K1 K 0.0000 0.0000 0.0000 1
K2 K 0.5000 0.5000 0.3889 1
Mg1 Mg 0.0000 0.0000 0.6521 1
Cr1 Cr 0.5000 0.5000 0.7455 1

For reference, raw total energy by record: -131.8; -38.5 eV per cell.